Compound: PmLu2Th
Source: Alexandria
Functional: PBE
Structure: optimized geometry

Structure (POSCAR):
```
PmLu2Th
1.0
3.566 0.000 0.000
0.000 3.566 0.000
0.000 0.000 9.846
Pm Lu Th
1 2 1
Cartesian
0.000 0.000 0.000 Pm
1.783 1.783 2.531 Lu
1.783 1.783 7.315 Lu
0.000 0.000 4.923 Th
```

Computed properties:
Formation energy ... 0.01 eV per atom
M_tot ... 0.000 μB per atom
Polymorph energy (0 for the lowest one) ... 0.0 kJ per mole of atoms
Total energy ... -21.16 eV per formula unit

=====

Compound: PmLuThTl
Source: Alexandria
Functional: PBE
Structure: optimized geometry

Structure (POSCAR):
```
PmLuThTl
1.0
7.819 0.000 0.000
0.000 7.819 0.000
0.000 0.000 7.819
Pm Lu Th Tl
4 4 4 4
Cartesian
0.000 0.000 0.000 Pm
0.000 3.910 3.910 Pm
3.910 0.000 3.910 Pm
3.910 3.910 0.000 Pm
1.955 1.955 5.865 Lu
1.955 5.865 1.955 Lu
5.865 1.955 1.955 Lu
5.865 5.865 5.865 Lu
0.000 0.000 3.910 Th
0.000 3.910 0.000 Th
3.910 0.000 0.000 Th
3.910 3.910 3.910 Th
1.955 1.955 1.955 Tl
1.955 5.865 5.865 Tl
5.865 1.955 5.865 Tl
5.865 5.865 1.955 Tl
```

Computed properties:
Formation energy ... 0.02 eV per atom
M_tot ... 0.000 μB per atom
Total energy ... -19.00 eV per formula unit

=====

Compound: PmTmLuTh
Source: Alexandria
Functional: PBE
Structure: optimized geometry

Structure (POSCAR):
```
PmTmLuTh
1.0
7.982 0.000 0.000
0.000 7.982 0.000
0.000 0.000 7.982
Pm Tm Lu Th
4 4 4 4
Cartesian
0.000 0.000 0.000 Pm
0.000 3.991 3.991 Pm
3.991 0.000 3.991 Pm
3.991 3.991 0.000 Pm
1.995 1.995 5.986 Tm
1.995 5.986 1.995 Tm
5.986 1.995 1.995 Tm
5.986 5.986 5.986 Tm
1.995 1.995 1.995 Lu
1.995 5.986 5.986 Lu
5.986 1.995 5.986 Lu
5.986 5.986 1.995 Lu
0.000 0.000 3.991 Th
0.000 3.991 0.000 Th
3.991 0.000 0.000 Th
3.991 3.991 3.991 Th
```

Computed properties:
Formation energy ... 0.11 eV per atom
M_tot ... 0.000 μB per atom
Total energy ... -20.73 eV per formula unit

=====

Compound: PmLu2Ti
Source: Alexandria
Functional: PBE
Structure: optimized geometry

Structure (POSCAR):
```
PmLu2Ti
1.0
3.331 0.000 0.000
-1.665 2.885 0.000
0.000 0.000 34.948
Pm Lu Ti
3 6 3
Cartesian
0.000 0.000 0.000 Pm
0.000 1.923 23.299 Pm
1.665 0.962 11.649 Pm
0.000 0.000 14.576 Lu
0.000 0.000 20.372 Lu
0.000 1.923 2.927 Lu
0.000 1.923 8.723 Lu
1.665 0.962 26.226 Lu
1.665 0.962 32.021 Lu
0.000 0.000 17.474 Ti
0.000 1.923 5.825 Ti
1.665 0.962 29.123 Ti
```

Computed properties:
Formation energy ... 0.42 eV per atom
M_tot ... 0.477 μB per atom
Polymorph energy (0 for the lowest one) ... 27.2 kJ per mole of atoms
Total energy ... -20.01 eV per formula unit

=====

Compound: PmLu2Ti
Source: Alexandria
Functional: PBE
Structure: optimized geometry

Structure (POSCAR):
```
PmLu2Ti
1.0
4.741 0.000 0.000
0.000 4.741 0.000
0.000 0.000 4.806
Pm Lu Ti
1 2 1
Cartesian
0.000 0.000 0.000 Pm
0.000 2.370 2.403 Lu
2.370 0.000 2.403 Lu
2.370 2.370 0.000 Ti
```

Computed properties:
Formation energy ... 0.20 eV per atom
M_tot ... 0.205 μB per atom
Polymorph energy (0 for the lowest one) ... 6.2 kJ per mole of atoms
Total energy ... -20.89 eV per formula unit

=====

Compound: PmLu2Ti
Source: Alexandria
Functional: PBE
Structure: optimized geometry

Structure (POSCAR):
```
PmLu2Ti
1.0
3.343 0.000 0.000
0.000 3.343 0.000
0.000 0.000 9.705
Pm Lu Ti
1 2 1
Cartesian
0.000 0.000 0.000 Pm
1.671 1.671 2.802 Lu
1.671 1.671 6.903 Lu
0.000 0.000 4.852 Ti
```

Computed properties:
Formation energy ... 0.14 eV per atom
M_tot ... 0.000 μB per atom
Polymorph energy (0 for the lowest one) ... 0.0 kJ per mole of atoms
Total energy ... -21.14 eV per formula unit

=====

Compound: PmLuTl2
Source: Alexandria
Functional: PBE
Structure: optimized geometry

Structure (POSCAR):
```
PmLuTl2
1.0
7.620 0.000 0.000
0.000 7.620 0.000
0.000 0.000 7.620
Pm Lu Tl
4 4 8
Cartesian
0.000 0.000 0.000 Pm
0.000 3.810 3.810 Pm
3.810 0.000 3.810 Pm
3.810 3.810 0.000 Pm
0.000 0.000 3.810 Lu
0.000 3.810 0.000 Lu
3.810 0.000 0.000 Lu
3.810 3.810 3.810 Lu
1.905 1.905 1.905 Tl
1.905 1.905 5.715 Tl
1.905 5.715 1.905 Tl
1.905 5.715 5.715 Tl
5.715 1.905 1.905 Tl
5.715 1.905 5.715 Tl
5.715 5.715 1.905 Tl
5.715 5.715 5.715 Tl
```

Computed properties:
Formation energy ... -0.32 eV per atom
M_tot ... 0.000 μB per atom
Polymorph energy (0 for the lowest one) ... 1.0 kJ per mole of atoms
Total energy ... -15.29 eV per formula unit

=====

Compound: PmLuTl2
Source: Alexandria
Functional: PBE
Structure: optimized geometry

Structure (POSCAR):
```
PmLuTl2
1.0
3.791 0.000 0.000
0.000 3.791 0.000
0.000 0.000 7.665
Pm Lu Tl
1 1 2
Cartesian
0.000 0.000 0.000 Pm
0.000 0.000 3.833 Lu
1.895 1.895 2.030 Tl
1.895 1.895 5.635 Tl
```

Computed properties:
Formation energy ... -0.33 eV per atom
M_tot ... 0.000 μB per atom
Polymorph energy (0 for the lowest one) ... 0.0 kJ per mole of atoms
Total energy ... -15.33 eV per formula unit

=====

Compound: PmLuTl2
Source: Alexandria
Functional: PBE
Structure: optimized geometry

Structure (POSCAR):
```
PmLuTl2
1.0
5.074 0.000 0.000
0.000 5.074 0.000
0.000 0.000 4.309
Pm Lu Tl
1 1 2
Cartesian
0.000 0.000 0.000 Pm
2.537 2.537 0.000 Lu
0.000 2.537 2.154 Tl
2.537 0.000 2.154 Tl
```

Computed properties:
Formation energy ... -0.32 eV per atom
M_tot ... 0.063 μB per atom
Polymorph energy (0 for the lowest one) ... 1.2 kJ per mole of atoms
Total energy ... -15.28 eV per formula unit

=====

Compound: PmTmLuTl
Source: Alexandria
Functional: PBE
Structure: optimized geometry

Structure (POSCAR):
```
PmTmLuTl
1.0
7.720 0.000 0.000
0.000 7.720 0.000
0.000 0.000 7.720
Pm Tm Lu Tl
4 4 4 4
Cartesian
0.000 0.000 0.000 Pm
0.000 3.860 3.860 Pm
3.860 0.000 3.860 Pm
3.860 3.860 0.000 Pm
0.000 0.000 3.860 Tm
0.000 3.860 0.000 Tm
3.860 0.000 0.000 Tm
3.860 3.860 3.860 Tm
1.930 1.930 1.930 Lu
1.930 5.790 5.790 Lu
5.790 1.930 5.790 Lu
5.790 5.790 1.930 Lu
1.930 1.930 5.790 Tl
1.930 5.790 1.930 Tl
5.790 1.930 1.930 Tl
5.790 5.790 5.790 Tl
```

Computed properties:
Formation energy ... -0.04 eV per atom
M_tot ... 0.187 μB per atom
Total energy ... -16.26 eV per formula unit

=====

Compound: PmTmLu2
Source: Alexandria
Functional: PBE
Structure: optimized geometry

Structure (POSCAR):
```
PmTmLu2
1.0
3.993 0.000 0.000
0.000 3.993 0.000
0.000 0.000 7.823
Pm Tm Lu
1 1 2
Cartesian
0.000 0.000 0.000 Pm
0.000 0.000 3.911 Tm
1.997 1.997 2.052 Lu
1.997 1.997 5.770 Lu
```

Computed properties:
Formation energy ... 0.10 eV per atom
M_tot ... 0.000 μB per atom
Polymorph energy (0 for the lowest one) ... 6.8 kJ per mole of atoms
Total energy ... -17.86 eV per formula unit

=====

Compound: PmTmLu2
Source: Alexandria
Functional: PBE
Structure: optimized geometry

Structure (POSCAR):
```
PmTmLu2
1.0
4.980 0.000 0.000
0.000 4.980 0.000
0.000 0.000 4.947
Pm Tm Lu
1 1 2
Cartesian
0.000 0.000 0.000 Pm
2.490 2.490 0.000 Tm
0.000 2.490 2.474 Lu
2.490 0.000 2.474 Lu
```

Computed properties:
Formation energy ... 0.03 eV per atom
M_tot ... 0.001 μB per atom
Polymorph energy (0 for the lowest one) ... 0.0 kJ per mole of atoms
Total energy ... -18.14 eV per formula unit

=====

- What is the total energy in the fifth record?
  -20.89 eV per formula unit